Record 1
First-principles (PBE) data for a geometry-optimized TaHg2Ru structure, as listed in Alexandria via LeMat-Bulk.

Cell: 2.9798 2.9798 28.7042 Å, 90.00 90.00 120.00°
Space group R-3m (No. 166, hexagonal axes)
Unique sites:
Ta (0.0000, 0.0000, 0.0000) (multiplicity 3)
Hg (0.0000, 0.0000, 0.2464) (multiplicity 6)
Ru (0.0000, 0.0000, 0.5000) (multiplicity 3)

Calculated total energy (eV per atom): -4.906
Volume (Å³/atom): 18.4
Energy relative to the lowest polymorph listed for this composition (meV per atom): 395
Formation energy from the elements (eV per formula unit): 2.1



Record 2
First-principles (PBE) data for a geometry-optimized TaHg2Ru structure, as listed in Alexandria via LeMat-Bulk.

Cell: 6.644 6.644 6.644 Å, 90.00 90.00 90.00°
Space group F-43m (No. 216)
Unique sites:
Ta (0.000, 0.000, 0.000) (multiplicity 4)
Hg (0.000, 0.000, 0.500) (multiplicity 4)
Hg (0.250, 0.250, 0.250) (multiplicity 4)
Ru (0.250, 0.250, 0.750) (multiplicity 4)

Calculated total energy (eV per atom): -4.910
Volume (Å³/atom): 18.3
Energy relative to the lowest polymorph listed for this composition (meV per atom): 391
Formation energy from the elements (eV per formula unit): 2.1



What is the calculated total energy in the second record? -4.910 eV per atom



Among the records above, which one has the lowest calculated total energy? number 2



Which of these has the lowest calculated total energy? number 2



Which value of volume does entry 2 give? 18.3 Å³/atom